[1]
First-principles (GGA-PBE) data for a relaxed AlFeSCl2 crystal, as listed in the Alexandria database.

a = 4.626 Å, b = 4.626 Å, c = 4.785 Å
α = 90.00°, β = 90.00°, γ = 90.00°
Site moments in Bohr magnetons follow the coordinates.
Element x y z (fractional)
S 0.000 0.000 0.500  0.02
Al 0.000 0.000 0.000  0.00
Fe 0.500 0.500 0.500  3.31
Cl 0.000 0.500 0.000  0.02
Cl 0.500 0.000 0.000  0.02

Output
E_form (uncorrected) (eV/atom): -0.08
Space-group type: No. 123


[2]
First-principles (GGA-PBE) data for a relaxed AlFeSCl crystal, as listed in the Alexandria database.

a = 3.101 Å, b = 3.101 Å, c = 25.824 Å
α = 90.00°, β = 90.00°, γ = 120.00°
Element x y z (fractional)
S 0.000 0.000 0.416
S 0.333 0.667 0.083
S 0.667 0.333 0.749
Al 0.000 0.000 0.202
Al 0.333 0.667 0.869
Al 0.667 0.333 0.536
Fe 0.000 0.000 0.798
Fe 0.333 0.667 0.464
Fe 0.667 0.333 0.131
Cl 0.000 0.000 0.601
Cl 0.333 0.667 0.267
Cl 0.667 0.333 0.934

Output
E_form (uncorrected) (eV/atom): -0.57
Space-group type: No. 160


Let's list calculated total energy in order: -20.40 -20.46 eV per formula unit.